Crystalline BeCoCuF6 at its relaxed geometry. Source: Alexandria, functional PBE with a Hubbard U.

Summary:
Total magnetic moment, μB/f.u.: 4.0
Crystal system: trigonal
Calculated volume, Å³/atom: 10.42
DFT total energy, eV per atom: -4.788

Cell: 4.918 4.918 8.952 Å, 90.00 90.00 120.00°
Positions (direct):
1 Be 0.333 0.667 0.250
2 Be 0.667 0.333 0.750
3 Co 0.333 0.667 0.750
4 Co 0.667 0.333 0.250
5 Cu 0.000 0.000 0.000
6 Cu 0.000 0.000 0.500
7 F 0.032 0.371 0.138
8 F 0.032 0.660 0.362
9 F 0.340 0.371 0.362
10 F 0.340 0.968 0.138
11 F 0.371 0.032 0.638
12 F 0.371 0.340 0.862
13 F 0.629 0.660 0.138
14 F 0.629 0.968 0.362
15 F 0.660 0.032 0.862
16 F 0.660 0.629 0.638
17 F 0.968 0.340 0.638
18 F 0.968 0.629 0.862